Record 1
Computed, not measured: V2TcPd after structural relaxation at the PBE level of DFT.

Cell: 4.199 4.199 3.232 Å, 90.00 90.00 90.00°
Space group P4/mmm (No. 123)
Symmetry-distinct sites (fractional):
V1 0.000 0.500 0.000 [2 per cell]
Tc1 0.000 0.000 0.500 [1 per cell]
Pd1 0.500 0.500 0.500 [1 per cell]

Results
D(E_F) in states/eV per atom: 1.232
Formation energy in eV/atom: -0.133

***

Record 2
Computed, not measured: V3Tc5Pd12 after structural relaxation at the PBE level of DFT.

Cell: 14.609 14.609 14.609 Å, 90.00 90.00 90.00°
Space group Ia-3d (No. 230)
Symmetry-distinct sites (fractional):
V1 0.000 0.250 0.125 [24 per cell]
Tc1 0.000 0.000 0.000 [16 per cell]
Tc2 0.000 0.250 0.375 [24 per cell]
Pd1 0.014 0.079 0.652 [96 per cell]

Results
D(E_F) in states/eV per atom: 1.164
Formation energy in eV/atom: 0.852

***

Record 3
Computed, not measured: V2TcPd after structural relaxation at the PBE level of DFT.

Cell: 2.7987 2.7987 25.5249 Å, 90.00 90.00 120.00°
Space group R-3m (No. 166, hexagonal axes)
Symmetry-distinct sites (fractional):
V1 0.0000 0.0000 0.2473 [6 per cell]
Tc1 0.0000 0.0000 0.5000 [3 per cell]
Pd1 0.0000 0.0000 0.0000 [3 per cell]

Results
D(E_F) in states/eV per atom: 1.600
Formation energy in eV/atom: 0.017

***

Record 4
Computed, not measured: ZrVTcPd after structural relaxation at the PBE level of DFT.

Cell: 6.407 6.407 6.407 Å, 90.00 90.00 90.00°
Space group F-43m (No. 216)
Symmetry-distinct sites (fractional):
Zr1 0.000 0.000 0.000 [4 per cell]
V1 0.000 0.000 0.500 [4 per cell]
Tc1 0.250 0.250 0.250 [4 per cell]
Pd1 0.250 0.250 0.750 [4 per cell]

Results
D(E_F) in states/eV per atom: 0.982
Formation energy in eV/atom: -0.241

***

Record 5
Computed, not measured: Tc2PdW after structural relaxation at the PBE level of DFT.

Cell: 6.245 6.245 6.245 Å, 90.00 90.00 90.00°
Space group Fm-3m (No. 225)
Symmetry-distinct sites (fractional):
Tc1 0.250 0.250 0.250 [8 per cell]
Pd1 0.000 0.000 0.000 [4 per cell]
W1 0.000 0.000 0.500 [4 per cell]

Results
D(E_F) in states/eV per atom: 1.505
Formation energy in eV/atom: 0.237

***

Record 6
Computed, not measured: TcPdW3 after structural relaxation at the PBE level of DFT.

Cell: 4.669 4.669 4.669 Å, 90.00 90.00 90.00°
Space group Pm-3m (No. 221)
Symmetry-distinct sites (fractional):
Tc1 0.000 0.000 0.000 [1 per cell]
Pd1 0.500 0.500 0.500 [1 per cell]
W1 0.000 0.000 0.500 [3 per cell]

Results
D(E_F) in states/eV per atom: 0.882
Formation energy in eV/atom: 1.876

***

Record 7
Computed, not measured: Tc2PdW after structural relaxation at the PBE level of DFT.

Cell: 3.930 3.930 3.873 Å, 90.00 90.00 90.00°
Space group P4/mmm (No. 123)
Symmetry-distinct sites (fractional):
Tc1 0.000 0.500 0.000 [2 per cell]
Pd1 0.000 0.000 0.500 [1 per cell]
W1 0.500 0.500 0.500 [1 per cell]

Results
D(E_F) in states/eV per atom: 0.885
Formation energy in eV/atom: 0.026

***

Record 8
Computed, not measured: TcPdW2 after structural relaxation at the PBE level of DFT.

Cell: 6.306 6.306 6.306 Å, 90.00 90.00 90.00°
Space group Fm-3m (No. 225)
Symmetry-distinct sites (fractional):
Tc1 0.000 0.000 0.000 [4 per cell]
Pd1 0.000 0.000 0.500 [4 per cell]
W1 0.250 0.250 0.250 [8 per cell]

Results
D(E_F) in states/eV per atom: 0.922
Formation energy in eV/atom: 0.365

***

What did the second record say?
Computed, not measured: V3Tc5Pd12 after structural relaxation at the PBE level of DFT.

Cell: 14.609 14.609 14.609 Å, 90.00 90.00 90.00°
Space group Ia-3d (No. 230)
Symmetry-distinct sites (fractional):
V1 0.000 0.250 0.125 [24 per cell]
Tc1 0.000 0.000 0.000 [16 per cell]
Tc2 0.000 0.250 0.375 [24 per cell]
Pd1 0.014 0.079 0.652 [96 per cell]

Results
D(E_F) in states/eV per atom: 1.164
Formation energy in eV/atom: 0.852